No. 1
First-principles (GGA-PBE) data for a relaxed structure of RuSe2N2, as listed in the Alexandria database.

Cell: 3.780 3.780 5.698 Å, 90.00 90.00 90.00°
Sites, in units of the cell vectors:
Ru (0.000, 0.000, 0.000)
Se (0.000, 0.000, 0.500)
Se (0.500, 0.500, 0.500)
N (0.000, 0.500, 0.000)
N (0.500, 0.000, 0.000)

Results
DOS at the Fermi energy, states/eV per atom: 0.517
Offset from the most stable computed form, meV/atom: 0.0
Calculated total energy, eV per atom: -5.7589

No. 2
First-principles (GGA-PBE) data for a relaxed structure of Np2PaMoC4, as listed in the Alexandria database.

Cell: 6.198 6.198 11.568 Å, 90.00 90.00 148.48°
Sites, in units of the cell vectors:
Np (0.131, 0.869, 0.551)
Np (0.131, 0.869, 0.949)
Np (0.869, 0.131, 0.051)
Np (0.869, 0.131, 0.449)
Pa (0.386, 0.614, 0.750)
Pa (0.614, 0.386, 0.250)
Mo (0.349, 0.651, 0.250)
Mo (0.651, 0.349, 0.750)
C (0.036, 0.964, 0.750)
C (0.224, 0.776, 0.121)
C (0.224, 0.776, 0.379)
C (0.500, 0.500, 0.000)
C (0.500, 0.500, 0.500)
C (0.776, 0.224, 0.621)
C (0.776, 0.224, 0.879)
C (0.964, 0.036, 0.250)

Results
DOS at the Fermi energy, states/eV per atom: 1.337
Formation energy, eV/atom: 0.10
Calculated total energy, eV per atom: -10.2836

No. 3
First-principles (GGA-PBE) data for a relaxed structure of SiPb2Se, as listed in the Alexandria database.

Cell: 6.192 6.192 6.192 Å, 146.66 127.47 63.66°
Sites, in units of the cell vectors:
Si (0.000, 0.000, 0.000)
Pb (0.253, 0.753, 0.500)
Pb (0.542, 0.542, 0.000)
Se (0.830, 0.330, 0.500)

Results
DOS at the Fermi energy, states/eV per atom: 0.644
Offset from the most stable computed form, meV/atom: 74.0
Calculated total energy, eV per atom: -3.9562